Entry from Alexandria via LeMat-Bulk: crystalline ZrSi2Ir at its relaxed geometry (PBE).

The space group is R-3m (No. 166, hexagonal axes) and the conventional cell measures 2.9461, 2.9461 and 25.4847 Å, with angles of 90.00, 90.00 and 120.00 degrees. The distinct sites, in fractional coordinates, are Zr at (0.0000, 0.0000, 0.0000), Si at (0.0000, 0.0000, 0.2412) and Ir at (0.0000, 0.0000, 0.5000).

***

Entry from Alexandria via LeMat-Bulk: crystalline ZrSiIr2 at its relaxed geometry (PBE).

The space group is R-3m (No. 166, hexagonal axes) and the conventional cell measures 2.9371, 2.9371 and 25.3892 Å, with angles of 90.00, 90.00 and 120.00 degrees. The distinct sites, in fractional coordinates, are Zr at (0.0000, 0.0000, 0.0000), Si at (0.0000, 0.0000, 0.5000) and Ir at (0.0000, 0.0000, 0.2385).

***

Entry from Alexandria via LeMat-Bulk: crystalline ZrSiIr2 at its relaxed geometry (PBE).

The space group is Pmm2 (No. 25) and the conventional cell measures 3.008, 3.853 and 5.629 Å, with angles of 90.00, 90.00 and 90.00 degrees. The distinct sites, in fractional coordinates, are Zr at (0.000, 0.000, 0.000), Si at (0.500, 0.500, 0.658), Ir at (0.000, 0.000, 0.531) and Ir at (0.500, 0.500, 0.218).

***

Entry from Alexandria via LeMat-Bulk: crystalline ZrSiIr2 at its relaxed geometry (PBE).

The space group is P4/mmm (No. 123) and the conventional cell measures 3.334, 3.334 and 5.774 Å, with angles of 90.00, 90.00 and 90.00 degrees. The distinct sites, in fractional coordinates, are Zr at (0.000, 0.000, 0.000), Si at (0.000, 0.000, 0.500) and Ir at (0.500, 0.500, 0.269).

***

Entry from Alexandria via LeMat-Bulk: crystalline ZrSi2Ir at its relaxed geometry (PBE).

The space group is I-42d (No. 122) and the conventional cell measures 4.107, 4.107 and 17.128 Å, with angles of 90.00, 90.00 and 90.00 degrees. The distinct sites, in fractional coordinates, are Zr at (0.000, 0.000, 0.000), Si at (0.164, 0.250, 0.625) and Ir at (0.000, 0.000, 0.500).

***

Entry from Alexandria via LeMat-Bulk: crystalline ZrSiIr at its relaxed geometry (PBE).

The space group is I4mm (No. 107) and the conventional cell measures 2.988, 2.988 and 10.811 Å, with angles of 90.00, 90.00 and 90.00 degrees. The distinct sites, in fractional coordinates, are Zr at (0.000, 0.000, 0.000), Si at (0.000, 0.000, 0.681) and Ir at (0.000, 0.000, 0.302).

***

Spin magnetization list, top to bottom, in μB per formula unit: 0.000; 0.000; 0.000; 0.000; 0.000; 0.000
Energy relative to the elements, uncorrected list, top to bottom, in eV per atom: -0.274; -0.367; -0.529; -0.551; -0.275; -0.710